1.
AlTeSe | GGA-PBE | relaxed

Cell: 8.9633 6.1835 7.1714 Å, 90.00 106.32 90.00°
With the nearest neighbours (Å) after each atom.
Fractional coordinates of all 12 atoms:
Al (0.1494, 0.1713, 0.3494)  2 Se 2.52-2.53, 2 Te 2.61-2.63
Al (0.1494, 0.3287, 0.8494)  2 Se 2.52-2.53, 2 Te 2.61-2.63
Al (0.8506, 0.6713, 0.1506)  2 Se 2.52-2.53, 2 Te 2.61-2.63
Al (0.8506, 0.8287, 0.6506)  2 Se 2.52-2.53, 2 Te 2.61-2.63
Te (0.3128, 0.0643, 0.7018)  2 Al 2.61-2.63
Te (0.3128, 0.4357, 0.2018)  2 Al 2.61-2.63
Te (0.6872, 0.5643, 0.7982)  2 Al 2.61-2.63
Te (0.6872, 0.9357, 0.2982)  2 Al 2.61-2.63
Se (0.0917, 0.6435, 0.6147)  2 Al 2.52-2.53, 1 Se 2.65
Se (0.0917, 0.8565, 0.1147)  2 Al 2.52-2.53, 1 Se 2.65
Se (0.9083, 0.1435, 0.8853)  2 Al 2.52-2.53, 1 Se 2.65
Se (0.9083, 0.3565, 0.3853)  2 Al 2.52-2.53, 1 Se 2.65

Properties
- Magnetic moment: 0.000 μB/cell
- Distance to the lowest polymorph of the same formula: 0.068 eV/atom
- Formation energy from raw total energies: -0.44 eV per atom
- SG: No. 14

2.
AlTeSe | GGA-PBE | relaxed

Cell: 6.3980 6.3980 6.3980 Å, 149.12 149.12 44.23°
With the nearest neighbours (Å) after each atom.
Fractional coordinates of all 3 atoms:
Al (0.0000, 0.0000, 0.0000)  4 Se 2.66
Te (0.3151, 0.3151, 0.0000)  4 Al 3.26, 5 Se 3.31-3.56, 4 Te 3.41
Se (0.5945, 0.5945, 0.0000)  4 Al 2.66

Properties
- Magnetic moment: 0.000 μB/cell
- Distance to the lowest polymorph of the same formula: 0.477 eV/atom
- Formation energy from raw total energies: -0.03 eV per atom
- SG: No. 107

3.
Al2TeSe4 | GGA-PBE | relaxed

Cell: 6.3671 6.3671 6.3671 Å, 104.70 104.70 119.50°
With the nearest neighbours (Å) after each atom.
Fractional coordinates of all 7 atoms:
Al (0.2500, 0.7500, 0.5000)  4 Se 2.44
Al (0.7500, 0.2500, 0.5000)  4 Se 2.44
Te (0.0000, 0.0000, 0.0000)  4 Se 2.85
Se (0.1624, 0.6708, 0.8332)  2 Al 2.44
Se (0.3292, 0.1624, 0.4915)  2 Al 2.44
Se (0.6708, 0.8376, 0.5085)  2 Al 2.44
Se (0.8376, 0.3292, 0.1668)  2 Al 2.44

Properties
- Magnetic moment: 0.000 μB/cell
- Formation energy from raw total energies: -0.62 eV per atom
- SG: No. 87

4.
AlTeSe | GGA-PBE | relaxed

Cell: 8.1201 7.7558 3.5549 Å, 82.86 71.39 25.75°
With the nearest neighbours (Å) after each atom.
Fractional coordinates of all 3 atoms:
Al (0.0000, 0.0000, 0.0000)  2 Se 2.43
Te (0.3622, 0.3622, 0.6378)  2 Al 2.78
Se (0.6045, 0.6045, 0.3955)  2 Al 2.43

Properties
- Magnetic moment: 0.000 μB/cell
- Distance to the lowest polymorph of the same formula: 0.363 eV/atom
- Formation energy from raw total energies: -0.15 eV per atom
- SG: No. 42

5.
AlTeSe | GGA-PBE | relaxed

Cell: 3.6085 3.6085 7.5067 Å, 90.00 90.00 120.00°
With the nearest neighbours (Å) after each atom.
Fractional coordinates of all 3 atoms:
Al (0.0000, 0.0000, 0.0000)  3 Se 2.45
Te (0.3333, 0.6667, 0.7194)  3 Al 2.96
Se (0.6667, 0.3333, 0.1714)  3 Al 2.45

Properties
- Magnetic moment: 0.000 μB/cell
- Distance to the lowest polymorph of the same formula: 0.032 eV/atom
- Formation energy from raw total energies: -0.48 eV per atom
- SG: No. 156

6.
Al4TeSe | GGA-PBE | relaxed

Cell: 5.5820 5.5820 5.5820 Å, 60.00 60.00 60.00°
With the nearest neighbours (Å) after each atom.
Fractional coordinates of all 6 atoms:
Al (0.1247, 0.1247, 0.1247)  6 Al 2.79-2.80
Al (0.1247, 0.1247, 0.6258)  6 Al 2.79-2.80
Al (0.1247, 0.6258, 0.1247)  6 Al 2.79-2.80
Al (0.6258, 0.1247, 0.1247)  6 Al 2.79-2.80
Te (0.5000, 0.5000, 0.5000)  12 Al 3.27, 4 Se 3.42
Se (0.7500, 0.7500, 0.7500)  12 Al 3.27, 4 Te 3.42

Properties
- Magnetic moment: 0.000 μB/cell
- Formation energy from raw total energies: 0.22 eV per atom
- SG: No. 216

7.
AlTeSe | GGA-PBE | relaxed

Cell: 4.8996 4.8996 4.8996 Å, 60.00 60.00 60.00°
With the nearest neighbours (Å) after each atom.
Fractional coordinates of all 3 atoms:
Al (0.0000, 0.0000, 0.0000)  4 Te 3.00
Te (0.2500, 0.2500, 0.2500)  4 Se 3.00, 4 Al 3.00
Se (0.5000, 0.5000, 0.5000)  4 Te 3.00

Properties
- Magnetic moment: 0.000 μB/cell
- Distance to the lowest polymorph of the same formula: 0.818 eV/atom
- Formation energy from raw total energies: 0.31 eV per atom
- SG: No. 216

8.
AlTeSe4 | GGA-PBE | relaxed

Cell: 6.5023 3.7466 7.1895 Å, 90.00 107.19 90.00°
With the nearest neighbours (Å) after each atom.
Fractional coordinates of all 6 atoms:
Al (0.0000, 0.0000, 0.0000)  6 Se 2.57-2.59
Te (0.5000, 0.5000, 0.0000)  6 Se 2.74-2.77
Se (0.2196, 0.5000, 0.2200)  2 Al 2.59, 1 Te 2.74
Se (0.2306, 0.0000, 0.7651)  1 Al 2.57, 2 Te 2.77
Se (0.7694, 0.0000, 0.2349)  1 Al 2.57, 2 Te 2.77
Se (0.7804, 0.5000, 0.7800)  2 Al 2.59, 1 Te 2.74

Properties
- Magnetic moment: 0.000 μB/cell
- Distance to the lowest polymorph of the same formula: 0.000 eV/atom
- Formation energy from raw total energies: -0.28 eV per atom
- SG: No. 10

9.
Al2VTeSe | GGA-PBE | relaxed

Cell: 4.9081 4.9081 5.3521 Å, 90.00 90.00 90.00°
With the nearest neighbours (Å) after each atom.
Fractional coordinates of all 5 atoms:
Al (0.0000, 0.5000, 0.0000)  2 Se 2.45
Al (0.5000, 0.0000, 0.0000)  2 Se 2.45
V (0.0000, 0.0000, 0.5000)  4 Te 3.47, 8 Al 3.63
Te (0.5000, 0.5000, 0.5000)  2 Se 2.68
Se (0.5000, 0.5000, 0.0000)  4 Al 2.45, 2 Te 2.68

Properties
- Magnetic moment: 0.267 μB/cell
- Formation energy from raw total energies: 1.13 eV per atom
- SG: No. 123

10.
AlTeWSe2 | GGA-PBE | relaxed

Cell: 4.7610 4.7610 5.3216 Å, 90.00 90.00 90.00°
With the nearest neighbours (Å) after each atom.
Fractional coordinates of all 5 atoms:
Al (0.0000, 0.0000, 0.0000)  4 Se 2.38, 2 Te 2.66
Te (0.0000, 0.0000, 0.5000)  2 Al 2.66
W (0.5000, 0.5000, 0.5000)  4 Te 3.37, 8 Se 3.57
Se (0.0000, 0.5000, 0.0000)  2 Al 2.38
Se (0.5000, 0.0000, 0.0000)  2 Al 2.38

Properties
- Magnetic moment: 2.961 μB/cell
- Formation energy from raw total energies: 0.96 eV per atom
- SG: No. 123

11.
Th6AlSe12 | GGA-PBE | relaxed

Cell: 8.3604 8.3604 8.3604 Å, 100.16 100.16 100.16°
With the nearest neighbours (Å) after each atom.
Fractional coordinates of all 19 atoms:
Th (0.1274, 0.7945, 0.6301)  7 Se 2.91-3.09
Th (0.2055, 0.3699, 0.8726)  7 Se 2.91-3.09
Th (0.3699, 0.8726, 0.2055)  7 Se 2.91-3.09
Th (0.6301, 0.1274, 0.7945)  7 Se 2.91-3.09
Th (0.7945, 0.6301, 0.1274)  7 Se 2.91-3.09
Th (0.8726, 0.2055, 0.3699)  7 Se 2.91-3.09
Al (0.5000, 0.5000, 0.5000)  6 Se 2.66
Se (0.0677, 0.9266, 0.3218)  4 Th 2.94-3.08
Se (0.0734, 0.6782, 0.9323)  4 Th 2.94-3.08
Se (0.1885, 0.4390, 0.5417)  1 Al 2.66, 2 Th 2.91-2.95
Se (0.3218, 0.0677, 0.9266)  4 Th 2.94-3.08
Se (0.4390, 0.5417, 0.1885)  1 Al 2.66, 2 Th 2.91-2.95
Se (0.4583, 0.8115, 0.5610)  1 Al 2.66, 2 Th 2.91-2.95
Se (0.5417, 0.1885, 0.4390)  1 Al 2.66, 2 Th 2.91-2.95
Se (0.5610, 0.4583, 0.8115)  1 Al 2.66, 2 Th 2.91-2.95
Se (0.6782, 0.9323, 0.0734)  4 Th 2.94-3.08
Se (0.8115, 0.5610, 0.4583)  1 Al 2.66, 2 Th 2.91-2.95
Se (0.9266, 0.3218, 0.0677)  4 Th 2.94-3.08
Se (0.9323, 0.0734, 0.6782)  4 Th 2.94-3.08

Properties
- Magnetic moment: 0.000 μB/cell
- Formation energy from raw total energies: -1.55 eV per atom
- SG: No. 148

12.
Th4AlSe3 | GGA-PBE | relaxed

Cell: 6.0057 6.0057 6.0057 Å, 90.00 90.00 90.00°
With the nearest neighbours (Å) after each atom.
Fractional coordinates of all 8 atoms:
Th (0.0000, 0.0000, 0.0000)  6 Se 3.00
Th (0.0000, 0.5000, 0.5000)  4 Se 3.00, 2 Al 3.00
Th (0.5000, 0.0000, 0.5000)  4 Se 3.00, 2 Al 3.00
Th (0.5000, 0.5000, 0.0000)  4 Se 3.00, 2 Al 3.00
Al (0.5000, 0.5000, 0.5000)  6 Th 3.00
Se (0.0000, 0.0000, 0.5000)  6 Th 3.00
Se (0.0000, 0.5000, 0.0000)  6 Th 3.00
Se (0.5000, 0.0000, 0.0000)  6 Th 3.00

Properties
- Magnetic moment: 0.000 μB/cell
- Formation energy from raw total energies: -1.21 eV per atom
- SG: No. 221

13.
Th2Al2Se7 | GGA-PBE | relaxed

Cell: 7.3562 7.3562 6.5754 Å, 97.17 97.17 101.07°
With the nearest neighbours (Å) after each atom.
Fractional coordinates of all 11 atoms:
Th (0.2014, 0.7986, 0.0000)  6 Se 2.89-2.98
Th (0.7986, 0.2014, 0.0000)  6 Se 2.89-2.98
Al (0.2709, 0.2709, 0.5848)  4 Se 2.32-2.43
Al (0.7291, 0.7291, 0.4152)  4 Se 2.32-2.43
Se (0.0633, 0.4204, 0.7682)  1 Al 2.40
Se (0.0952, 0.0952, 0.2600)  1 Al 2.43
Se (0.4204, 0.0633, 0.7682)  1 Al 2.40
Se (0.5000, 0.5000, 0.5000)  2 Al 2.32
Se (0.5796, 0.9367, 0.2318)  1 Al 2.40
Se (0.9048, 0.9048, 0.7400)  1 Al 2.43
Se (0.9367, 0.5796, 0.2318)  1 Al 2.40

Properties
- Magnetic moment: 0.000 μB/cell
- Formation energy from raw total energies: -1.16 eV per atom
- SG: No. 12

14.
ThAl2Se6 | GGA-PBE | relaxed

Cell: 8.7415 8.7415 7.3532 Å, 107.39 107.39 69.08°
With the nearest neighbours (Å) after each atom.
Fractional coordinates of all 18 atoms:
Th (0.1736, 0.8264, 0.7500)  8 Se 2.94-3.11
Th (0.8264, 0.1736, 0.2500)  8 Se 2.94-3.11
Al (0.2289, 0.3716, 0.7502)  4 Se 2.38-2.46
Al (0.3716, 0.2289, 0.2502)  4 Se 2.38-2.46
Al (0.6284, 0.7711, 0.7498)  4 Se 2.38-2.46
Al (0.7711, 0.6284, 0.2498)  4 Se 2.38-2.46
Se (0.0794, 0.1646, 0.6271)  1 Al 2.41
Se (0.1380, 0.6225, 0.9802)  1 Al 2.38
Se (0.1646, 0.0794, 0.1271)  1 Al 2.41
Se (0.2543, 0.4729, 0.4933)  2 Al 2.41-2.46
Se (0.3775, 0.8620, 0.5198)  1 Al 2.38
Se (0.4729, 0.2543, 0.9933)  2 Al 2.41-2.46
Se (0.5271, 0.7457, 0.0067)  2 Al 2.41-2.46
Se (0.6225, 0.1380, 0.4802)  1 Al 2.38
Se (0.7457, 0.5271, 0.5067)  2 Al 2.41-2.46
Se (0.8354, 0.9206, 0.8729)  1 Al 2.41
Se (0.8620, 0.3775, 0.0198)  1 Al 2.38
Se (0.9206, 0.8354, 0.3729)  1 Al 2.41

Properties
- Magnetic moment: 0.000 μB/cell
- Formation energy from raw total energies: -0.85 eV per atom
- SG: No. 15

15.
Th6AlSe5 | GGA-PBE | relaxed

Cell: 7.3287 7.3287 7.3483 Å, 99.52 99.52 119.54°
With the nearest neighbours (Å) after each atom.
Fractional coordinates of all 12 atoms:
Th (0.0820, 0.4151, 0.7481)  1 Al 2.99, 5 Se 3.00-3.02
Th (0.2483, 0.2483, 0.2503)  5 Se 2.99-3.01, 1 Al 2.99
Th (0.4151, 0.0820, 0.7481)  1 Al 2.99, 5 Se 3.00-3.02
Th (0.5849, 0.9180, 0.2519)  1 Al 2.99, 5 Se 3.00-3.02
Th (0.7517, 0.7517, 0.7497)  5 Se 2.99-3.01, 1 Al 2.99
Th (0.9180, 0.5849, 0.2519)  1 Al 2.99, 5 Se 3.00-3.02
Al (0.0000, 0.0000, 0.5000)  6 Th 2.99
Se (0.1656, 0.8344, 0.0000)  6 Th 2.99-3.02
Se (0.3338, 0.6662, 0.5000)  6 Th 3.00
Se (0.5000, 0.5000, 0.0000)  6 Th 3.01
Se (0.6662, 0.3338, 0.5000)  6 Th 3.00
Se (0.8344, 0.1656, 0.0000)  6 Th 2.99-3.02

Properties
- Magnetic moment: 0.000 μB/cell
- Formation energy from raw total energies: -1.31 eV per atom
- SG: No. 12

16.
Th5AlSe5 | GGA-PBE | relaxed

Cell: 7.2798 7.2798 8.4891 Å, 106.60 106.60 48.23°
With the nearest neighbours (Å) after each atom.
Fractional coordinates of all 11 atoms:
Th (0.0000, 0.0000, 0.0000)  2 Al 2.97, 4 Se 2.99-3.01
Th (0.3336, 0.3336, 0.1668)  5 Se 2.98-3.10, 1 Al 2.98
Th (0.3364, 0.3364, 0.6684)  5 Se 2.95-3.02, 1 Al 2.97
Th (0.6636, 0.6636, 0.3316)  5 Se 2.95-3.02, 1 Al 2.97
Th (0.6664, 0.6664, 0.8332)  5 Se 2.98-3.10, 1 Al 2.98
Al (0.5000, 0.5000, 0.0000)  6 Th 2.97-2.98
Se (0.1618, 0.1618, 0.3398)  5 Th 2.98-3.08
Se (0.1616, 0.1616, 0.8224)  5 Th 2.98-3.10
Se (0.5000, 0.5000, 0.5000)  4 Th 2.95-3.00
Se (0.8384, 0.8384, 0.1776)  5 Th 2.98-3.10
Se (0.8382, 0.8382, 0.6602)  5 Th 2.98-3.08

Properties
- Magnetic moment: 0.000 μB/cell
- Formation energy from raw total energies: -1.34 eV per atom
- SG: No. 12

17.
ThAlSe4 | GGA-PBE | relaxed

Cell: 7.8315 7.8315 7.8315 Å, 105.60 105.60 117.52°
With the nearest neighbours (Å) after each atom.
Fractional coordinates of all 12 atoms:
Th (0.3750, 0.6250, 0.7500)  8 Se 3.00-3.03
Th (0.6250, 0.3750, 0.2500)  8 Se 3.00-3.03
Al (0.1250, 0.8750, 0.2500)  4 Se 2.38
Al (0.8750, 0.1250, 0.7500)  4 Se 2.38
Se (0.1150, 0.6787, 0.4363)  1 Al 2.38
Se (0.2576, 0.3213, 0.9363)  1 Al 2.38
Se (0.3213, 0.2576, 0.4363)  1 Al 2.38
Se (0.3213, 0.8850, 0.0637)  1 Al 2.38
Se (0.6787, 0.1150, 0.9363)  1 Al 2.38
Se (0.6787, 0.7424, 0.5637)  1 Al 2.38
Se (0.7424, 0.6787, 0.0637)  1 Al 2.38
Se (0.8850, 0.3213, 0.5637)  1 Al 2.38

Properties
- Magnetic moment: 0.000 μB/cell
- Formation energy from raw total energies: -1.05 eV per atom
- SG: No. 141

18.
ThAlTl2Se5 | GGA-PBE | relaxed

Cell: 9.8145 9.8145 13.6464 Å, 90.00 90.00 155.68°
With the nearest neighbours (Å) after each atom.
Fractional coordinates of all 18 atoms:
Th (0.2044, 0.7956, 0.5000)  6 Se 2.85-3.06
Th (0.7956, 0.2044, 0.0000)  6 Se 2.85-3.06
Al (0.4368, 0.5632, 0.8840)  4 Se 2.37-2.51
Al (0.5632, 0.4368, 0.3840)  4 Se 2.37-2.51
Tl (0.1089, 0.8911, 0.8037)  4 Se 3.08-3.11
Tl (0.1108, 0.8892, 0.1294)  4 Se 3.12-3.31
Tl (0.8892, 0.1108, 0.6294)  4 Se 3.12-3.31
Tl (0.8911, 0.1089, 0.3037)  4 Se 3.08-3.11
Se (0.0450, 0.9550, 0.4848)  2 Al 2.51
Se (0.2955, 0.7045, 0.1433)  2 Th 2.85
Se (0.3134, 0.6866, 0.8464)  1 Al 2.42
Se (0.3528, 0.6472, 0.4654)  1 Th 2.89, 4 Tl 3.11-3.12
Se (0.4995, 0.5005, 0.2355)  1 Al 2.37
Se (0.5005, 0.4995, 0.7355)  1 Al 2.37
Se (0.6472, 0.3528, 0.9654)  1 Th 2.89, 4 Tl 3.11-3.12
Se (0.6866, 0.3134, 0.3464)  1 Al 2.42
Se (0.7045, 0.2955, 0.6433)  2 Th 2.85
Se (0.9550, 0.0450, 0.9848)  2 Al 2.51

Properties
- Magnetic moment: 0.000 μB/cell
- Formation energy from raw total energies: -0.91 eV per atom
- SG: No. 36

19.
ThAlTlSe4 | GGA-PBE | relaxed

Cell: 6.8621 6.9478 9.1502 Å, 90.00 107.78 90.00°
With the nearest neighbours (Å) after each atom.
Fractional coordinates of all 14 atoms:
Th (0.2313, 0.2500, 0.0557)  6 Se 2.93-3.02
Th (0.7687, 0.7500, 0.9443)  6 Se 2.93-3.02
Al (0.2273, 0.7500, 0.8232)  4 Se 2.36-2.40
Al (0.7727, 0.2500, 0.1768)  4 Se 2.36-2.40
Tl (0.2597, 0.2500, 0.5626)  6 Se 3.25-3.61
Tl (0.7403, 0.7500, 0.4374)  6 Se 3.25-3.61
Se (0.0118, 0.5108, 0.2134)  1 Al 2.40
Se (0.0118, 0.9892, 0.2134)  1 Al 2.40
Se (0.4316, 0.7500, 0.6567)  1 Al 2.36
Se (0.4376, 0.7500, 0.0860)  1 Al 2.40
Se (0.5624, 0.2500, 0.9140)  1 Al 2.40
Se (0.5684, 0.2500, 0.3433)  1 Al 2.36
Se (0.9882, 0.0108, 0.7866)  1 Al 2.40
Se (0.9882, 0.4892, 0.7866)  1 Al 2.40

Properties
- Magnetic moment: 0.000 μB/cell
- Formation energy from raw total energies: -1.15 eV per atom
- SG: No. 11

20.
Ti3AlSe | GGA-PBE | relaxed

Cell: 6.8298 6.8298 6.6229 Å, 94.46 94.46 39.22°
With the nearest neighbours (Å) after each atom.
Fractional coordinates of all 10 atoms:
Ti (0.0275, 0.0275, 0.2002)  2 Se 2.61-2.71, 2 Ti 2.69-2.92, 2 Al 2.82
Ti (0.1969, 0.1969, 0.9325)  1 Se 2.57, 3 Al 2.65-2.69, 3 Ti 2.78-2.80
Ti (0.2826, 0.2826, 0.3347)  3 Se 2.53-2.62, 1 Ti 2.80, 1 Al 2.82
Ti (0.7174, 0.7174, 0.6653)  3 Se 2.53-2.62, 1 Ti 2.80, 1 Al 2.82
Ti (0.8031, 0.8031, 0.0675)  1 Se 2.57, 3 Al 2.65-2.69, 3 Ti 2.78-2.80
Ti (0.9725, 0.9725, 0.7998)  2 Se 2.61-2.71, 2 Ti 2.69-2.92, 2 Al 2.82
Al (0.4033, 0.4033, 0.9979)  1 Al 2.49, 3 Ti 2.65-2.69
Al (0.5967, 0.5967, 0.0021)  1 Al 2.49, 3 Ti 2.65-2.69
Se (0.1312, 0.1312, 0.5559)  6 Ti 2.53-2.71
Se (0.8688, 0.8688, 0.4441)  6 Ti 2.53-2.71

Properties
- Magnetic moment: 0.001 μB/cell
- Distance to the lowest polymorph of the same formula: 0.000 eV/atom
- Formation energy from raw total energies: -0.38 eV per atom
- SG: No. 12